Here is a relaxed structure of Be2CdSe from the Alexandria database. Energies are from GGA-PBE.

Calculated density (g/cm³): 4.83
Energy above the most stable polymorph in this dataset (meV per atom): 429.3
Space group: C2/m (12)
Energy relative to the elements, uncorrected (eV per formula unit): 2.1

Cell and atoms, written as CIF:
```
data_Be2CdSe
_chemical_formula_sum 'Be2 Cd1 Se1'
_space_group_name_H-M_alt 'P 1'
_space_group_IT_number 1
_cell_length_a 5.1785
_cell_length_b 5.1785
_cell_length_c 3.7537
_cell_angle_alpha 65.38
_cell_angle_beta 65.38
_cell_angle_gamma 103.98
loop_
_space_group_symop_operation_xyz
'x,y,z'
loop_
_atom_site_label
_atom_site_type_symbol
_atom_site_fract_x
_atom_site_fract_y
_atom_site_fract_z
Be1 Be 0.5000 0.5000 0.0000
Be2 Be 0.0000 0.0000 0.0000
Cd1 Cd 0.5000 0.0000 0.5000
Se1 Se 0.0000 0.5000 0.5000
```